(1)
A geometry-optimized Ac7Tl3Co2 structure. Source: the Alexandria database, functional GGA-PBE.

a = 5.539 Å, b = 27.301 Å, c = 5.491 Å
α = 90.00°, β = 90.00°, γ = 90.00°
Space group Cmmm (No. 65)
Unique sites:
Ac  0.000  0.000  0.000 (multiplicity 2)
Ac  0.000  0.098  0.500 (multiplicity 4)
Ac  0.000  0.206  0.000 (multiplicity 4)
Ac  0.000  0.398  0.000 (multiplicity 4)
Tl  0.000  0.297  0.500 (multiplicity 4)
Tl  0.000  0.500  0.500 (multiplicity 2)
Co  0.000  0.102  0.000 (multiplicity 4)

Results
Magnetic moment: 0.00 μB per atom
Electronic total energy: -104.09 eV/cell
ΔE_f: -0.165 eV per atom

---

(2)
A geometry-optimized PuPaOs structure. Source: the Alexandria database, functional GGA-PBE.

a = 3.501 Å, b = 3.501 Å, c = 9.992 Å
α = 90.00°, β = 90.00°, γ = 90.00°
Space group I4mm (No. 107)
Unique sites:
Pu  0.000  0.000  0.000 (multiplicity 2)
Pa  0.000  0.000  0.325 (multiplicity 2)
Os  0.000  0.000  0.670 (multiplicity 2)

Results
Magnetic moment: 1.68 μB per atom
Electronic total energy: -71.08 eV/cell
Energy above the most stable polymorph in this dataset: 0.000 eV per atom
ΔE_f: -0.160 eV per atom